Tb2HPd: relaxed, PBE.

mass density	8.776	g/cm3
uncorrected energy	-4.546	eV/atom

a = 3.375 Å, b = 3.375 Å, c = 8.386 Å
α = 78.39°, β = 78.39°, γ = 60.00°
Positions (direct):
H1 0.500 0.500 0.500
Tb1 0.108 0.108 0.676
Tb2 0.892 0.892 0.324
Pd1 0.000 0.000 0.000

***

Tb2HPd6: relaxed, PBE.

mass density	11.152	g/cm3
uncorrected energy	-5.684	eV/atom

a = 5.860 Å, b = 5.869 Å, c = 10.159 Å
α = 54.68°, β = 90.00°, γ = 90.00°
Positions (direct):
Tb1 0.500 0.750 0.250
Tb2 0.000 0.250 0.250
Tb3 0.000 0.750 0.750
Tb4 0.500 0.250 0.750
H1 0.500 0.500 0.000
H2 0.000 0.500 0.500
Pd1 0.000 0.249 0.751
Pd2 0.749 0.751 0.500
Pd3 0.751 0.249 0.000
Pd4 0.251 0.751 0.500
Pd5 0.249 0.249 0.000
Pd6 0.500 0.751 0.749
Pd7 0.000 0.751 0.249
Pd8 0.251 0.249 0.500
Pd9 0.249 0.751 0.000
Pd10 0.749 0.249 0.500
Pd11 0.751 0.751 0.000
Pd12 0.500 0.249 0.251

***

TbH12Pd7: relaxed, PBE.

mass density	8.760	g/cm3
uncorrected energy	-4.231	eV/atom

a = 6.087 Å, b = 6.087 Å, c = 6.087 Å
α = 109.47°, β = 109.47°, γ = 109.47°
Positions (direct):
Tb1 0.000 0.000 0.000
H1 0.307 0.175 0.481
H2 0.307 0.825 0.132
H3 0.693 0.825 0.519
H4 0.693 0.175 0.868
H5 0.481 0.307 0.175
H6 0.868 0.693 0.175
H7 0.519 0.693 0.825
H8 0.132 0.307 0.825
H9 0.825 0.132 0.307
H10 0.175 0.868 0.693
H11 0.175 0.481 0.307
H12 0.825 0.519 0.693
Pd1 0.500 0.000 0.500
Pd2 0.500 0.500 0.000
Pd3 0.000 0.500 0.500
Pd4 0.000 0.000 0.500
Pd5 0.500 0.000 0.000
Pd6 0.500 0.500 0.500
Pd7 0.000 0.500 0.000

***

Tb6HPd2: relaxed, PBE.

mass density	8.716	g/cm3
uncorrected energy	-5.106	eV/atom

a = 6.450 Å, b = 7.016 Å, c = 9.828 Å
α = 90.00°, β = 89.89°, γ = 90.00°
Positions (direct):
Tb1 0.141 0.024 0.250
Tb2 0.172 0.322 0.561
Tb3 0.170 0.321 0.941
Tb4 0.330 0.821 0.559
Tb5 0.328 0.822 0.939
Tb6 0.359 0.524 0.250
Tb7 0.859 0.976 0.750
Tb8 0.828 0.678 0.439
Tb9 0.830 0.679 0.059
Tb10 0.670 0.179 0.441
Tb11 0.672 0.178 0.061
Tb12 0.641 0.476 0.750
H1 0.500 0.500 0.000
H2 0.000 0.000 0.500
Pd1 0.068 0.615 0.749
Pd2 0.432 0.115 0.751
Pd3 0.568 0.885 0.249
Pd4 0.932 0.385 0.251

***

TbH7Pd12: relaxed, PBE.

mass density	10.424	g/cm3
uncorrected energy	-4.745	eV/atom

a = 7.156 Å, b = 6.541 Å, c = 6.541 Å
α = 72.51°, β = 68.61°, γ = 111.39°
Positions (direct):
Tb1 0.000 0.000 0.000
H1 0.814 0.201 0.172
H2 0.014 0.828 0.374
H3 0.387 0.374 0.799
H4 0.500 0.000 0.000
H5 0.613 0.626 0.201
H6 0.986 0.172 0.626
H7 0.186 0.799 0.828
Pd1 0.765 0.460 0.157
Pd2 0.077 0.843 0.617
Pd3 0.385 0.227 0.084
Pd4 0.531 0.916 0.311
Pd5 0.695 0.617 0.540
Pd6 0.842 0.311 0.773
Pd7 0.158 0.689 0.227
Pd8 0.305 0.383 0.460
Pd9 0.469 0.084 0.689
Pd10 0.615 0.773 0.916
Pd11 0.923 0.157 0.383
Pd12 0.235 0.540 0.843

***

TbH2Pd: relaxed, PBE.

mass density	8.796	g/cm3
uncorrected energy	-4.739	eV/atom

a = 4.685 Å, b = 7.140 Å, c = 6.036 Å
α = 90.00°, β = 90.00°, γ = 90.02°
Positions (direct):
Tb1 0.750 0.176 0.853
Tb2 0.250 0.324 0.353
Tb3 0.250 0.824 0.147
Tb4 0.750 0.676 0.647
H1 0.984 0.898 0.843
H2 0.016 0.602 0.343
H3 0.016 0.102 0.157
H4 0.984 0.398 0.657
H5 0.483 0.102 0.156
H6 0.483 0.602 0.344
H7 0.517 0.898 0.844
H8 0.517 0.398 0.656
Pd1 0.251 0.955 0.639
Pd2 0.749 0.045 0.361
Pd3 0.749 0.545 0.139
Pd4 0.251 0.455 0.861

***

Tb2HPd: relaxed, PBE.

mass density	9.128	g/cm3
uncorrected energy	-4.736	eV/atom

a = 3.317 Å, b = 3.317 Å, c = 7.031 Å
α = 90.00°, β = 90.00°, γ = 90.00°
Positions (direct):
H1 0.500 0.500 0.500
Tb1 0.000 0.000 0.738
Tb2 0.000 0.000 0.262
Pd1 0.500 0.500 0.000

***

TbH8Pd6: relaxed, PBE.

mass density	9.318	g/cm3
uncorrected energy	-4.426	eV/atom

a = 5.311 Å, b = 5.311 Å, c = 5.311 Å
α = 99.04°, β = 99.04°, γ = 99.04°
Positions (direct):
Tb1 0.000 0.000 0.000
H1 0.688 0.688 0.688
H2 0.312 0.312 0.312
H3 0.625 0.797 0.191
H4 0.797 0.191 0.625
H5 0.191 0.625 0.797
H6 0.375 0.203 0.809
H7 0.203 0.809 0.375
H8 0.809 0.375 0.203
Pd1 0.707 0.421 0.873
Pd2 0.421 0.873 0.707
Pd3 0.873 0.707 0.421
Pd4 0.293 0.579 0.127
Pd5 0.579 0.127 0.293
Pd6 0.127 0.293 0.579